# CeBiPt2 (PBE-GGA, optimized geometry)
# Total magnetic moment (μB/f.u.): 0.2
# ΔH_f (0 K) (kJ per mole of atoms): -63.6
# Electronic total energy (eV/cell): -24.5
data_CeBiPt2
_chemical_formula_sum 'Ce1 Bi1 Pt2'
_cell_length_a 3.740
_cell_length_b 3.740
_cell_length_c 6.452
_cell_angle_alpha 90.00
_cell_angle_beta 90.00
_cell_angle_gamma 90.00
_space_group_name_H-M_alt 'P 4/m m m'
_space_group_IT_number 123
_space_group_name_Hall '-P 4 2'
loop_
_atom_site_label
_atom_site_type_symbol
_atom_site_fract_x
_atom_site_fract_y
_atom_site_fract_z
Ce1 Ce 0.000 0.000 0.000
Bi1 Bi 0.000 0.000 0.500
Pt1 Pt 0.500 0.500 0.221